--- P ---
Computed, not measured: a crystal of CdCu5 relaxed with PBEsol at the meta-GGA SCAN level of DFT.

As for the crystal system: tetragonal. The calculation puts the calculated volume at 12.65 Å³/atom.

The space group is P4/mmm (No. 123) and the conventional cell measures 2.926, 2.926 and 8.867 Å, with angles of 90.00, 90.00 and 90.00 degrees. The asymmetric unit holds Cd at (0.000, 0.000, 0.000), Cu at (0.000, 0.000, 0.350), Cu at (0.500, 0.500, 0.201) and Cu at (0.500, 0.500, 0.500).

--- Q ---
Computed, not measured: a crystal of CdCu5 relaxed with PBEsol at the meta-GGA SCAN level of DFT.

As for the crystal system: cubic. The calculation puts the calculated volume at 12.98 Å³/atom.

The space group is F-43m (No. 216) and the conventional cell measures 6.779, 6.779 and 6.779 Å, with angles of 90.00, 90.00 and 90.00 degrees. The asymmetric unit holds Cd at (0.000, 0.000, 0.000), Cu at (0.125, 0.125, 0.375) and Cu at (0.250, 0.250, 0.750).

Most stable one: P, least stable one: Q.